No. 1
The following is a PBE calculation of a relaxed CeErPd crystal, from Alexandria via LeMat-Bulk.

Structure (extended XYZ):
```
3
Lattice="-1.181 -3.265 3.475 3.394 -1.494 3.221 -0.284 1.408 4.697" Properties=species:S:1:pos:R:3 pbc="T T T"
Pd 0.482 -0.838 2.848
Er 0.000 0.000 0.000
Ce 0.964 -1.675 5.697
```

Output
DFT formation energy: -0.32 eV per atom
Magnetic moment: 0.350 μB/atom
Calculated volume: 83.8 Å³ per cell
E above lowest polymorph: 168 meV per atom
VASP energy: -5.550 eV per atom


No. 2
The following is a PBE calculation of a relaxed YIr2Br2 crystal, from Alexandria via LeMat-Bulk.

Structure (extended XYZ):
```
5
Lattice="-1.569 1.212 3.823 1.378 -3.692 1.737 5.046 1.295 4.086" Properties=species:S:1:pos:R:3 pbc="T T T"
Br 1.691 0.634 5.344
Br 3.164 -1.818 4.301
Ir 0.942 -0.728 3.043
Ir 3.913 -0.456 6.602
Y 0.000 0.000 0.000
```

Output
Formation energy without anion corrections: 176 meV per atom
Magnetic moment: 0.000 μB/atom
Calculated volume: 109.0 Å³ per cell
E above lowest polymorph: 17 meV per atom
VASP energy: -5.330 eV per atom


No. 3
The following is a PBE calculation of a relaxed Li5HgPt crystal, from Alexandria via LeMat-Bulk.

Structure (extended XYZ):
```
7
Lattice="3.906 0.653 0.000 -0.653 3.906 0.000 0.000 0.000 7.636" Properties=species:S:1:pos:R:3 pbc="T T T"
Li 3.579 2.607 2.010
Li 0.000 0.000 3.818
Li 1.953 0.327 5.625
Li 1.300 4.233 2.010
Li -0.326 1.953 5.625
Hg 0.000 0.000 0.000
Pt 1.626 2.280 3.818
```

Output
DFT formation energy: -0.31 eV per atom
Magnetic moment: 0.000 μB/atom
Calculated volume: 119.8 Å³ per cell
E above lowest polymorph: 12 meV per atom
VASP energy: -2.581 eV per atom


No. 4
The following is a PBE calculation of a relaxed BaW2Cl crystal, from Alexandria via LeMat-Bulk.

Structure (extended XYZ):
```
8
Lattice="-0.465 -1.548 -4.673 4.908 -0.515 -0.317 1.534 -9.305 0.314" Properties=species:S:1:pos:R:3 pbc="T T T"
W 3.666 -8.641 -4.043
W 3.263 -3.275 -2.011
W 4.189 -7.897 -1.725
W 0.837 -2.925 -1.575
Cl 2.222 -1.032 -2.495
Cl 4.332 -5.426 -1.249
Ba 1.646 -5.943 -3.427
Ba 0.000 0.000 0.000
```

Output
Formation energy without anion corrections: 1261 meV per atom
Magnetic moment: 0.000 μB/atom
Calculated volume: 214.3 Å³ per cell
E above lowest polymorph: 1089 meV per atom
VASP energy: -6.158 eV per atom


No. 5
The following is a PBE calculation of a relaxed Mn2TlI crystal, from Alexandria via LeMat-Bulk.

Structure (extended XYZ):
```
4
Lattice="-2.146 -0.356 4.506 -3.043 3.628 1.615 -4.919 -0.840 0.369" Properties=species:S:1:pos:R:3 pbc="T T T"
Tl -5.054 1.216 3.245
Mn -2.527 0.608 1.623
Mn -7.581 1.824 4.868
I 0.000 0.000 0.000
```

Output
Formation energy without anion corrections: 712 meV per atom
Magnetic moment: 1.906 μB/atom
Calculated volume: 88.6 Å³ per cell
E above lowest polymorph: 89 meV per atom
VASP energy: -4.852 eV per atom


No. 6
The following is a PBE calculation of a relaxed Pm12PrRu7 crystal, from Alexandria via LeMat-Bulk.

Structure (extended XYZ):
```
20
Lattice="8.822 -0.020 -0.031 -2.473 8.468 -0.031 -2.473 -3.290 7.803" Properties=species:S:1:pos:R:3 pbc="T T T"
Pm 2.588 0.030 2.994
Pm 1.923 3.251 1.180
Pm 0.292 -1.719 5.598
Pm 5.608 -0.084 5.768
Pm -1.732 5.242 1.974
Pm -0.691 1.802 3.455
Pm 4.568 3.356 4.287
Pm 3.585 6.876 2.144
Pm 1.288 5.128 4.748
Pm 5.517 1.901 0.570
Pm -1.641 3.257 7.172
Pm 1.954 1.907 6.561
Ru 1.938 2.579 3.871
Ru -0.807 2.988 0.769
Ru 4.076 6.056 4.688
Ru 3.095 0.689 0.348
Ru -0.199 -0.898 3.054
Ru 4.684 2.170 6.973
Ru 0.782 4.469 7.394
Pr 0.000 0.000 0.000
```

Output
DFT formation energy: -0.10 eV per atom
Magnetic moment: 0.000 μB/atom
Calculated volume: 580.7 Å³ per cell
VASP energy: -6.433 eV per atom


No. 7
The following is a PBE calculation of a relaxed Nd3Y4Ho5 crystal, from Alexandria via LeMat-Bulk.

Structure (extended XYZ):
```
12
Lattice="-2.771 -4.084 -3.317 4.798 -2.115 -6.734 -0.781 -8.079 5.269" Properties=species:S:1:pos:R:3 pbc="T T T"
Ho 2.204 -11.047 -4.230
Ho 0.623 -7.139 -2.391
Ho 1.514 -2.764 -3.192
Ho -0.267 -11.515 -1.589
Ho -0.957 -3.232 -0.551
Nd 2.009 -5.097 -0.732
Nd -0.380 -8.535 0.166
Nd 1.626 -5.743 -4.948
Y -1.360 -4.458 -4.035
Y -0.771 -5.801 2.456
Y 2.017 -8.478 -7.238
Y 2.606 -9.820 -0.747
```

Output
DFT formation energy: 0.23 eV per atom
Magnetic moment: 0.013 μB/atom
Calculated volume: 397.5 Å³ per cell
E above lowest polymorph: 210 meV per atom
VASP energy: -5.025 eV per atom


No. 8
The following is a PBE calculation of a relaxed TcIrPb2S crystal, from Alexandria via LeMat-Bulk.

Structure (extended XYZ):
```
5
Lattice="5.296 0.000 0.000 0.000 4.380 0.000 0.000 0.000 5.296" Properties=species:S:1:pos:R:3 pbc="T T T"
S 0.000 0.000 0.000
Pb 0.000 0.000 2.648
Pb 2.648 0.000 0.000
Tc 0.000 2.190 0.000
Ir 2.648 2.190 2.648
```

Output
Formation energy without anion corrections: 1108 meV per atom
Magnetic moment: 0.428 μB/atom
Calculated volume: 122.9 Å³ per cell
VASP energy: -5.046 eV per atom


No. 9
The following is a PBE calculation of a relaxed Er6TmPd2 crystal, from Alexandria via LeMat-Bulk.

Structure (extended XYZ):
```
9
Lattice="3.510 0.000 0.992 1.467 7.873 1.514 -0.523 0.127 8.552" Properties=species:S:1:pos:R:3 pbc="T T T"
Er 2.008 6.622 6.303
Er 2.446 1.378 4.756
Er 1.416 2.493 1.695
Er -0.125 1.079 7.144
Er 3.038 5.507 9.363
Er 4.579 6.920 3.914
Tm 0.472 4.000 5.033
Pd 1.647 3.440 7.580
Pd 2.807 4.560 3.478
```

Output
DFT formation energy: -0.39 eV per atom
Magnetic moment: 0.000 μB/atom
Calculated volume: 239.9 Å³ per cell
VASP energy: -5.085 eV per atom


No. 10
The following is a PBE calculation of a relaxed RbCd2Ga2 crystal, from Alexandria via LeMat-Bulk.

Structure (extended XYZ):
```
5
Lattice="4.819 0.000 0.000 0.000 4.819 0.000 2.409 2.409 6.036" Properties=species:S:1:pos:R:3 pbc="T T T"
Rb 0.000 0.000 0.000
Cd 4.819 4.819 4.523
Cd 2.409 2.409 1.513
Ga 4.819 2.409 3.018
Ga 2.409 4.819 3.018
```

Output
DFT formation energy: -0.01 eV per atom
Magnetic moment: 0.000 μB/atom
Calculated volume: 140.1 Å³ per cell
E above lowest polymorph: 40 meV per atom
VASP energy: -1.776 eV per atom